(1)
# SmYTm5Th2

A relaxed SmYTm5Th2 crystal (PBE, Alexandria via LeMat-Bulk).

**Total moment**: 0.000 μB/atom
**ΔH_f (0 K)**: 0.337 eV per atom

Cell: 8.729 8.729 9.814 Å, 116.41 116.41 90.00°
Atoms (fractional coordinates):
Tm1 0.652 0.152 0.721
Tm2 0.500 0.500 0.000
Th1 0.381 0.881 0.000
Tm3 0.431 0.348 0.279
Tm4 0.348 0.848 0.279
Tm5 0.000 0.000 0.000
Y1 0.250 0.250 0.500
Tm6 0.069 0.569 0.721
Y2 0.750 0.750 0.500
Tm7 0.848 0.931 0.279
Th2 0.881 0.619 0.000
Th3 0.119 0.381 0.000
Sm1 0.750 0.250 0.500
Tm8 0.152 0.069 0.721
Sm2 0.250 0.750 0.500
Tm9 0.569 0.652 0.721
Tm10 0.931 0.431 0.279
Th4 0.619 0.119 0.000

---

(2)
# Ba3BN3

A relaxed Ba3BN3 crystal (PBE, Alexandria via LeMat-Bulk).

**Formation energy (no corrections)**: -0.671 eV per atom
**Total moment**: 0.000 μB/atom

Cell: 8.499 8.499 5.221 Å, 90.00 90.00 120.00°
Atoms (fractional coordinates):
N1 0.161 0.482 0.250
B1 0.667 0.333 0.750
B2 0.333 0.667 0.250
N2 0.321 0.839 0.250
Ba1 0.326 0.965 0.750
Ba2 0.035 0.361 0.750
N3 0.482 0.321 0.750
Ba3 0.965 0.639 0.250
Ba4 0.674 0.035 0.250
N4 0.679 0.161 0.750
Ba5 0.361 0.326 0.250
Ba6 0.639 0.674 0.750
N5 0.839 0.518 0.750
N6 0.518 0.679 0.250

---

(3)
# BaGdInAg

A relaxed BaGdInAg crystal (PBE, Alexandria via LeMat-Bulk).

**Total moment**: 1.817 μB/atom
**ΔH_f (0 K)**: -0.228 eV per atom

Cell: 5.615 5.615 5.615 Å, 60.00 60.00 60.00°
Atoms (fractional coordinates):
In1 0.750 0.750 0.750
Gd1 0.500 0.500 0.500
Ag1 0.250 0.250 0.250
Ba1 0.000 0.000 0.000

---

(4)
# Er2MgGa3Ir4

A relaxed Er2MgGa3Ir4 crystal (PBE, Alexandria via LeMat-Bulk).

**Total moment**: 0.000 μB/atom
**ΔH_f (0 K)**: -0.659 eV per atom

Cell: 4.118 4.118 10.825 Å, 90.00 90.00 90.00°
Atoms (fractional coordinates):
Ir1 0.500 0.000 0.647
Mg1 0.500 0.500 0.500
Ga1 0.500 0.000 0.872
Er1 0.000 0.500 0.765
Ga2 0.000 0.000 0.500
Ir2 0.500 0.500 0.000
Ir3 0.000 0.000 0.000
Ir4 0.000 0.500 0.353
Ga3 0.000 0.500 0.128
Er2 0.500 0.000 0.235

---

(5)
# PuPaRh6

A relaxed PuPaRh6 crystal (PBE, Alexandria via LeMat-Bulk).

**Total moment**: 0.352 μB/atom
**ΔH_f (0 K)**: -0.635 eV per atom

Cell: 4.050 4.050 8.092 Å, 90.00 90.00 90.00°
Atoms (fractional coordinates):
Rh1 0.500 0.000 0.750
Pa1 0.000 0.000 0.500
Rh2 0.500 0.500 0.000
Rh3 0.000 0.500 0.250
Pu1 0.000 0.000 0.000
Rh4 0.000 0.500 0.750
Rh5 0.500 0.000 0.250
Rh6 0.500 0.500 0.500

---

(6)
# YCdO2F

A relaxed YCdO2F crystal (PBE, Alexandria via LeMat-Bulk).

**Formation energy (no corrections)**: -1.634 eV per atom
**Total moment**: 0.000 μB/atom

Cell: 4.302 4.302 4.152 Å, 90.00 90.00 90.00°
Atoms (fractional coordinates):
O1 0.500 0.000 0.000
Y1 0.500 0.500 0.500
O2 0.000 0.500 0.000
F1 0.000 0.000 0.500
Cd1 0.000 0.000 0.000

---

Number 1: E_tot -5.04 eV per atom, theoretical density 8.8 g/cm³, DOS(E_F) 24.6 states/eV per cell. Number 2: E_tot -6.02 eV per atom, theoretical density 4.7 g/cm³, DOS(E_F) 1.4 states/eV per cell. Number 3: E_tot -5.63 eV per atom, theoretical density 6.9 g/cm³, DOS(E_F) 5.0 states/eV per cell. Number 4: E_tot -6.18 eV per atom, theoretical density 12.1 g/cm³, DOS(E_F) 4.1 states/eV per cell. Number 5: E_tot -9.13 eV per atom, theoretical density 13.7 g/cm³, DOS(E_F) 17.3 states/eV per cell. Number 6: E_tot -5.47 eV per atom, theoretical density 5.5 g/cm³, DOS(E_F) 0.4 states/eV per cell.